# 1
# TaNiSnPt

TaNiSnPt after structural relaxation (PBE, OQMD via LeMat-Bulk).

Values from the calculation:
ρ: 13.99 g/cm3
magnetic moment: 0.0 μB per formula unit
V: 16.42 Å³/atom
crystal system: cubic
final energy: -28.3 eV per formula unit
polymorph energy (0 for the lowest one): 0 meV per atom

Cell lengths 6.4048, 6.4048, 6.4048 Å; angles 90.00, 90.00, 90.00 degrees
Space group F-43m (No. 216)
Unique sites:
Ta: 0.0000 0.0000 0.0000 (multiplicity 4)
Ni: 0.2500 0.2500 0.7500 (multiplicity 4)
Sn: 0.0000 0.0000 0.5000 (multiplicity 4)
Pt: 0.2500 0.2500 0.2500 (multiplicity 4)



# 2
# ReH8I6N2

ReH8I6N2 after structural relaxation (PBE, OQMD via LeMat-Bulk).

Values from the calculation:
ρ: 4.53 g/cm3
magnetic moment: 3.0 μB per formula unit
V: 21.21 Å³/atom
crystal system: tetragonal
final energy: -70.3 eV per formula unit

Cell lengths 7.8011, 7.8011, 11.8503 Å; angles 90.00, 90.00, 90.00 degrees
Space group P4/mnc (No. 128)
Unique sites:
Re: 0.0000 0.0000 0.0000 (multiplicity 2)
H: 0.0016 0.3918 0.1990 (multiplicity 16)
I: 0.0000 0.0000 0.2317 (multiplicity 4)
I: 0.1958 0.2910 0.0000 (multiplicity 8)
N: 0.0000 0.5000 0.2500 (multiplicity 4)